1.
VASP calculation (PBE) on a geometry-optimized Y2Fe5C4 structure.

As for the space group: Fmmm, No. 69. Its total energy is -8.489 eV/atom.

Unit cell a=6.913 b=5.704 c=5.254 alpha=78.11 beta=53.84 gamma=48.05
Positions (direct):
C  0.292  0.970  0.030
C  0.708  0.030  0.970
Y  0.353  0.353  0.647
C  0.030  0.708  0.292
Fe  0.000  0.000  0.000
Fe  0.000  0.000  0.500
Fe  0.250  0.250  0.250
Fe  0.750  0.750  0.750
C  0.970  0.292  0.708
Y  0.647  0.647  0.353
Fe  0.500  0.500  0.000


2.
VASP calculation (PBE) on a geometry-optimized Y2Fe2C3 structure.

The energy above the most stable polymorph in this dataset is 0.000 eV/atom. As for the space group: C2/m, No. 12.

Unit cell a=5.300 b=5.300 c=6.129 alpha=121.98 beta=121.98 gamma=37.49
Positions (direct):
Y  0.570  0.570  0.331
Y  0.430  0.430  0.669
C  0.195  0.195  0.753
C  0.000  0.000  0.000
C  0.805  0.805  0.247
Fe  0.203  0.203  0.086
Fe  0.797  0.797  0.914


3.
VASP calculation (PBE) on a geometry-optimized Y2FeC2 structure.

As for the space group: C2/m, No. 12. Its total energy is -8.213 eV/atom.

Unit cell a=6.004 b=6.004 c=6.697 alpha=118.37 beta=118.37 gamma=49.56
Site moments in Bohr magnetons follow the coordinates.
Positions (direct):
C  0.516  0.516  0.801  -0.04
Y  0.318  0.318  0.390  -0.02
Fe  0.629  0.629  0.131  0.76
C  0.484  0.484  0.199  -0.04
C  0.815  0.815  0.390  0.03
C  0.185  0.185  0.610  0.03
Y  0.682  0.682  0.610  -0.02
Y  0.958  0.958  0.217  -0.03
Fe  0.371  0.371  0.869  0.76
Y  0.042  0.042  0.783  -0.03


4.
VASP calculation (PBE) on a geometry-optimized YFe2C2 structure.

As for the space group: I4/mmm, No. 139. Its total energy is -8.519 eV/atom.

Unit cell a=5.357 b=5.357 c=5.357 alpha=142.41 beta=142.41 gamma=54.21
Positions (direct):
Y  0.000  0.000  0.000
C  0.660  0.660  0.000
Fe  0.750  0.250  0.500
Fe  0.250  0.750  0.500
C  0.340  0.340  0.000


5.
VASP calculation (PBE) on a geometry-optimized Y2FeC structure.

As for the space group: C2/c, No. 15. Its total energy is -7.593 eV/atom.

Unit cell a=6.233 b=6.233 c=14.602 alpha=102.20 beta=102.20 gamma=60.34
Site moments in Bohr magnetons follow the coordinates.
Positions (direct):
Y  0.528  0.374  0.601  -0.15
C  0.500  0.000  0.500  0.04
Y  0.626  0.472  0.899  -0.15
Fe  0.204  0.419  0.750  2.29
Fe  0.419  0.204  0.250  2.20
Y  0.136  0.302  0.406  -0.12
C  0.335  0.831  0.003  0.05
C  0.169  0.665  0.497  0.05
Y  0.028  0.201  0.093  -0.12
Fe  0.581  0.796  0.750  2.20
Y  0.864  0.698  0.594  -0.12
C  0.831  0.335  0.503  0.05
Y  0.698  0.864  0.094  -0.11
Y  0.799  0.972  0.407  -0.11
Fe  0.796  0.581  0.250  2.29
C  0.665  0.169  0.997  0.05
Fe  0.757  0.243  0.250  1.94
Fe  0.243  0.757  0.750  1.94
Y  0.972  0.799  0.907  -0.12
Y  0.201  0.028  0.593  -0.11
Y  0.374  0.528  0.101  -0.15
C  0.000  0.500  0.000  0.04
Y  0.472  0.626  0.399  -0.15
Y  0.302  0.136  0.906  -0.11


6.
VASP calculation (PBE) on a geometry-optimized Y2FeC structure.

As for the space group: P6_3/mmc, No. 194. Its total energy is -7.461 eV/atom.

Unit cell a=3.553 b=3.553 c=14.397 alpha=90.00 beta=90.00 gamma=120.00
Site moments in Bohr magnetons follow the coordinates.
Positions (direct):
Y  0.667  0.333  0.904  -0.17
C  0.000  0.000  0.000  0.05
Fe  0.667  0.333  0.250  2.69
Fe  0.333  0.667  0.750  2.69
Y  0.333  0.667  0.096  -0.17
Y  0.667  0.333  0.596  -0.17
Y  0.333  0.667  0.404  -0.17
C  0.000  0.000  0.500  0.05